Ce8In3Os | PBE | relaxed

Structure (POSCAR):
```
Ce8In3Os
1.0
-2.381 -6.439 -2.488
6.523 -1.238 -3.039
0.149 0.679 8.816
In Ce Os
3 8 1
Direct
0.750 0.250 0.500 In
0.500 0.500 0.000 In
0.250 0.750 0.500 In
0.344 0.881 0.226 Ce
0.881 0.881 0.226 Ce
0.656 0.656 0.774 Ce
0.119 0.656 0.774 Ce
0.656 0.119 0.774 Ce
0.881 0.344 0.226 Ce
0.119 0.119 0.774 Ce
0.344 0.344 0.226 Ce
0.000 0.000 0.000 Os
```

Calculated values
Relative energy among the computed polymorphs ... 0.191 eV/atom
Space group ... I4/mmm
Calculated density ... 7.2 Mg/m³
Energy ... -5.528 eV per atom

Tb6ErTl2 | PBE | relaxed

Structure (POSCAR):
```
Tb6ErTl2
1.0
-2.596 1.925 -5.179
-8.427 2.180 4.095
0.442 9.329 2.306
Tl Tb Er
4 12 2
Direct
0.913 0.782 0.538 Tl
0.413 0.538 0.782 Tl
0.087 0.218 0.462 Tl
0.587 0.462 0.218 Tl
0.988 0.429 0.684 Tb
0.164 0.354 0.099 Tb
0.688 0.266 0.973 Tb
0.664 0.099 0.354 Tb
0.012 0.571 0.316 Tb
0.488 0.684 0.429 Tb
0.812 0.027 0.734 Tb
0.512 0.316 0.571 Tb
0.188 0.973 0.266 Tb
0.312 0.734 0.027 Tb
0.836 0.646 0.901 Tb
0.336 0.901 0.646 Tb
0.250 0.101 0.899 Er
0.750 0.899 0.101 Er
```

Calculated values
Relative energy among the computed polymorphs ... 0.053 eV/atom
Space group ... C2/c
Calculated density ... 9.4 Mg/m³
Energy ... -4.216 eV per atom

TbY2UP4 | PBE | relaxed

Structure (POSCAR):
```
TbY2UP4
1.0
-0.903 -2.727 -2.757
6.682 -0.485 -1.709
-1.412 -4.573 4.985
P U Y Tb
4 1 2 1
Direct
0.000 0.256 0.755 P
0.500 0.255 0.246 P
0.500 0.745 0.754 P
0.000 0.744 0.245 P
0.500 0.500 0.000 U
0.000 0.500 0.500 Y
0.500 0.000 0.500 Y
0.000 0.000 0.000 Tb
```

Calculated values
Space group ... P2/m
Calculated density ... 6.5 Mg/m³
Energy ... -7.770 eV per atom

LiLaSb3 | PBE | relaxed

Structure (POSCAR):
```
LiLaSb3
1.0
-0.766 -2.064 -4.607
-4.233 -2.275 1.724
-2.750 4.078 -1.370
La Sb Li
1 3 1
Direct
0.500 0.500 0.500 La
0.000 0.000 0.500 Sb
0.500 0.000 0.000 Sb
0.000 0.500 0.000 Sb
0.000 0.000 0.000 Li
```

Calculated values
Relative energy among the computed polymorphs ... 0.348 eV/atom
Space group ... Pm-3m
Calculated density ... 6.4 Mg/m³
ΔE_f (raw) ... -351 meV per atom
Energy ... -4.193 eV per atom

SrSc2Ta | PBE | relaxed

Structure (POSCAR):
```
SrSc2Ta
1.0
-2.625 1.428 -0.945
-1.701 -2.214 1.425
-0.060 5.787 8.918
Sc Ta Sr
2 1 1
Direct
0.500 0.500 0.221 Sc
0.000 0.000 0.976 Sc
0.500 0.500 0.786 Ta
0.000 0.000 0.517 Sr
```

Calculated values
Relative energy among the computed polymorphs ... 0.151 eV/atom
Space group ... Cmm2
Calculated density ... 5.7 Mg/m³
Energy ... -6.080 eV per atom

Tc2OsW | PBE | relaxed

Structure (POSCAR):
```
Tc2OsW
1.0
4.476 0.000 0.000
0.000 4.476 0.000
0.000 0.000 3.007
Tc W Os
2 1 1
Direct
0.500 0.500 0.000 Tc
0.000 0.000 0.000 Tc
0.500 0.000 0.500 W
0.000 0.500 0.500 Os
```

Calculated values
Relative energy among the computed polymorphs ... 0.225 eV/atom
Space group ... P4/mmm
Calculated density ... 15.7 Mg/m³
Energy ... -10.943 eV per atom

Al2PbAu | PBE | relaxed

Structure (POSCAR):
```
Al2PbAu
1.0
3.286 0.000 0.000
0.000 3.491 0.000
0.000 0.000 7.378
Al Au Pb
2 1 1
Direct
0.000 0.000 0.052 Al
0.500 0.500 0.268 Al
0.000 0.000 0.433 Au
0.500 0.500 0.748 Pb
```

Calculated values
Space group ... Pmm2
Calculated density ... 9.0 Mg/m³
Energy ... -3.629 eV per atom

KCdGaO3 | PBE | relaxed

Structure (POSCAR):
```
KCdGaO3
1.0
5.584 0.000 0.000
0.000 5.756 0.000
0.000 -2.878 5.606
O K Ga Cd
6 2 2 2
Direct
0.500 0.777 0.000 O
0.500 0.223 0.000 O
0.750 0.776 0.551 O
0.000 0.777 0.000 O
0.000 0.223 0.000 O
0.250 0.224 0.449 O
0.750 0.248 0.497 K
0.250 0.752 0.503 K
0.250 0.060 0.121 Ga
0.750 0.940 0.879 Ga
0.250 0.418 0.836 Cd
0.750 0.582 0.164 Cd
```

Calculated values
Space group ... Cmcm
Calculated density ... 5.0 Mg/m³
ΔE_f (raw) ... -1491 meV per atom
Energy ... -4.810 eV per atom

Mg3Zr2In3 | PBE | relaxed

Structure (POSCAR):
```
Mg3Zr2In3
1.0
4.491 0.000 0.000
0.000 4.428 0.000
0.000 0.000 8.718
In Mg Zr
3 3 2
Direct
0.000 0.500 0.500 In
0.500 0.000 0.500 In
0.000 0.500 0.000 In
0.500 0.500 0.754 Mg
0.500 0.500 0.246 Mg
0.500 0.000 0.000 Mg
0.000 0.000 0.254 Zr
0.000 0.000 0.746 Zr
```

Calculated values
Space group ... Pmmm
Calculated density ... 5.7 Mg/m³
Energy ... -4.015 eV per atom

Te2Mo2Au | PBE | relaxed

Structure (POSCAR):
```
Te2Mo2Au
1.0
7.442 0.000 0.000
0.000 7.442 0.000
0.000 0.000 3.575
Au Te Mo
2 4 4
Direct
0.000 0.000 0.000 Au
0.500 0.500 0.000 Au
0.845 0.345 0.500 Te
0.655 0.845 0.500 Te
0.155 0.655 0.500 Te
0.345 0.155 0.500 Te
0.137 0.363 0.000 Mo
0.363 0.863 0.000 Mo
0.863 0.637 0.000 Mo
0.637 0.137 0.000 Mo
```

Calculated values
Relative energy among the computed polymorphs ... 0.000 eV/atom
Space group ... P4/mbm
Calculated density ... 10.8 Mg/m³
ΔE_f (raw) ... 301 meV per atom
Energy ... -5.943 eV per atom

CaBeP2 | PBE | relaxed

Structure (POSCAR):
```
CaBeP2
1.0
3.772 -0.045 0.000
-1.798 3.316 0.000
0.000 0.000 6.201
P Ca Be
2 1 1
Direct
0.000 0.000 0.434 P
0.000 0.000 0.066 P
0.500 0.500 0.750 Ca
0.500 0.500 0.250 Be
```

Calculated values
Space group ... Cmmm
Calculated density ... 2.4 Mg/m³
Energy ... -4.339 eV per atom

MgAg2Br4 | PBE | relaxed

Structure (POSCAR):
```
MgAg2Br4
1.0
6.257 0.000 0.000
0.000 6.257 0.000
0.000 0.000 5.843
Ag Mg Br
2 1 4
Direct
0.500 0.000 0.500 Ag
0.000 0.500 0.500 Ag
0.000 0.000 0.000 Mg
0.245 0.755 0.774 Br
0.755 0.755 0.226 Br
0.245 0.245 0.226 Br
0.755 0.245 0.774 Br
```

Calculated values
Relative energy among the computed polymorphs ... 0.000 eV/atom
Space group ... P-42m
Calculated density ... 4.1 Mg/m³
ΔE_f (raw) ... -802 meV per atom
Energy ... -2.800 eV per atom

Among the records above, which one has the lowest energy? Tc2OsW

calculated density of number 2 (Tb6ErTl2)? 9.4 Mg/m³

Number 11 is which compound? CaBeP2